No. 1
Mn3Pb5I16 (PBE, relaxed); total DFT energy (no corrections) = -83.83 eV per cell; symmetry = Cm (8)
1.0
-7.519 -4.486 -2.322
0.201 -6.878 -5.891
2.309 -9.241 11.187
I Mn Pb
16 3 5
direct
0.993 0.520 0.662
0.821 0.310 0.403
0.678 0.143 0.895
0.346 0.346 0.397
0.492 0.492 0.177
0.013 0.522 0.165
0.154 0.154 0.929
0.687 0.687 0.902
0.520 0.993 0.662
0.980 0.980 0.665
0.522 0.013 0.165
0.986 0.986 0.177
0.143 0.678 0.895
0.310 0.821 0.403
0.843 0.843 0.393
0.505 0.505 0.646
0.662 0.168 0.285
0.168 0.662 0.285
0.830 0.830 0.779
0.338 0.338 0.028
0.334 0.835 0.784
0.671 0.671 0.519
0.835 0.334 0.784
0.167 0.167 0.284

No. 2
Co2Ir3 (PBE, relaxed); symmetry = R32 (155); E_form = 0.670 eV per atom
1.0
4.310 0.204 -0.205
0.225 4.309 0.205
-0.225 0.226 4.308
Co Ir
2 3
direct
0.682 0.318 0.682
0.318 0.682 0.318
0.763 0.763 0.000
0.000 0.237 0.237
0.237 0.000 0.763

No. 3
LiZrSe (PBE, relaxed); total DFT energy (no corrections) = -15.76 eV per cell; symmetry = I4mm (107)
1.0
5.315 -0.024 0.027
4.270 3.166 0.020
1.046 0.351 3.172
Li Se Zr
1 1 1
direct
0.973 0.973 0.027
0.352 0.352 0.648
0.675 0.675 0.325

No. 4
LiSmY2 (PBE, relaxed); symmetry = P4/mmm (123); E_form = 0.064 eV per atom
1.0
3.657 0.000 0.000
0.000 3.657 0.000
0.000 0.000 8.822
Li Sm Y
1 1 2
direct
0.500 0.500 0.000
0.500 0.500 0.500
0.000 0.000 0.217
0.000 0.000 0.783